A plane-wave DFT calculation with PBE was carried out for crystalline Ta4ZnInN2 at its relaxed geometry.

Summary:
- E_tot: -8.959 eV/atom
- Total magnetization: 0.00 μB per cell

The structure in CIF format:
```
data_Ta4ZnInN2
_chemical_formula_sum 'Ta4 Zn1 In1 N2'
_symmetry_space_group_name_H-M 'P -6 m 2'
_symmetry_Int_Tables_number 187
_symmetry_space_group_name_Hall 'P -6 2'
_cell_length_a 3.0892
_cell_length_b 3.0892
_cell_length_c 14.2249
_cell_angle_alpha 90.00
_cell_angle_beta 90.00
_cell_angle_gamma 120.00
loop_
_atom_site_label
_atom_site_fract_x
_atom_site_fract_y
_atom_site_fract_z
_atom_site_occupancy
Ta1 0.0000 0.0000 0.1544 1
Ta2 0.6667 0.3333 0.3288 1
Zn1 0.6667 0.3333 0.0000 1
In1 0.0000 0.0000 0.5000 1
N1 0.3333 0.6667 0.2408 1
```